{"formula": "W3O8", "functional": "PBE with a Hubbard U", "state": "relaxed", "lattice_angstrom": [[6.929, 0.231, 0.524], [4.081, 5.604, 0.524], [2.164, 1.147, 4.534]], "species": ["W", "W", "W", "O", "O", "O", "O", "O", "O", "O", "O"], "fractional_positions": [[0.000, 0.000, 0.500], [0.713, 0.287, 0.000], [0.287, 0.713, 0.000], [0.377, 0.377, 0.019], [0.623, 0.623, 0.981], [0.902, 0.902, 0.956], [0.098, 0.098, 0.044], [0.324, 0.866, 0.556], [0.866, 0.324, 0.556], [0.134, 0.676, 0.444], [0.676, 0.134, 0.444]], "relative_energy_mev_per_atom": 287, "density_g_cm3": 6.9}